No. 1
HoTiSe2 (GGA-PBE, relaxed); volume = 253 Å³ per cell; offset from the most stable computed form = 0 meV/atom; Fermi-level density of states = 8.3 states/eV/cell
1.0
3.796 0.000 0.000
-1.898 3.287 0.000
0.000 0.000 20.242
Ho Ti Se
3 3 6
Direct
0.000 0.000 0.000
0.333 0.667 0.667
0.667 0.333 0.333
0.000 0.000 0.826
0.333 0.667 0.492
0.667 0.333 0.159
0.000 0.000 0.240
0.000 0.000 0.423
0.333 0.667 0.090
0.333 0.667 0.906
0.667 0.333 0.573
0.667 0.333 0.757

---

No. 2
HoTiSe2 (GGA-PBE, relaxed); volume = 252 Å³ per cell; offset from the most stable computed form = 28 meV/atom; Fermi-level density of states = 13.1 states/eV/cell
1.0
3.959 0.000 0.000
-1.980 3.429 0.000
0.000 0.000 18.592
Ho Ti Se
3 3 6
Direct
0.000 0.000 0.000
0.333 0.667 0.667
0.667 0.333 0.333
0.000 0.000 0.500
0.333 0.667 0.167
0.667 0.333 0.833
0.000 0.000 0.242
0.000 0.000 0.758
0.333 0.667 0.424
0.333 0.667 0.909
0.667 0.333 0.091
0.667 0.333 0.576

---

No. 3
Ho3TiTl3Se8 (GGA-PBE, relaxed); volume = 445 Å³ per cell
1.0
4.042 2.334 7.864
-4.042 2.334 7.864
0.000 -4.668 7.864
Ho Ti Tl Se
3 1 3 8
Direct
0.000 0.500 0.500
0.500 0.000 0.500
0.500 0.500 0.000
0.000 0.000 0.000
0.000 0.000 0.500
0.000 0.500 0.000
0.500 0.000 0.000
0.218 0.218 0.756
0.218 0.756 0.218
0.244 0.782 0.782
0.265 0.265 0.265
0.735 0.735 0.735
0.756 0.218 0.218
0.782 0.244 0.782
0.782 0.782 0.244

---

No. 4
Ho2TiTl3Se6 (GGA-PBE, relaxed); volume = 331 Å³ per cell; Fermi-level density of states = 6.3 states/eV/cell
1.0
3.512 -6.071 0.000
3.512 6.071 0.000
-2.354 0.000 7.775
Ho Ti Tl Se
2 1 3 6
Direct
0.165 0.835 0.000
0.835 0.165 0.000
0.500 0.500 0.000
0.000 0.000 0.500
0.327 0.673 0.500
0.673 0.327 0.500
0.121 0.435 0.804
0.253 0.253 0.204
0.435 0.121 0.804
0.565 0.879 0.196
0.747 0.747 0.796
0.879 0.565 0.196

---

No. 5
Ho3TiTl4Se8 (GGA-PBE, relaxed); volume = 449 Å³ per cell; Fermi-level density of states = 6.1 states/eV/cell
1.0
4.082 2.357 7.775
-4.082 2.357 7.775
0.000 -4.714 7.775
Ho Ti Tl Se
3 1 4 8
Direct
0.000 0.500 0.500
0.500 0.000 0.500
0.500 0.500 0.000
0.000 0.000 0.000
0.000 0.000 0.500
0.000 0.500 0.000
0.500 0.000 0.000
0.500 0.500 0.500
0.224 0.224 0.750
0.224 0.750 0.224
0.250 0.776 0.776
0.265 0.265 0.265
0.735 0.735 0.735
0.750 0.224 0.224
0.776 0.250 0.776
0.776 0.776 0.250

---

No. 6
Ho3TlSe (GGA-PBE, relaxed); volume = 546 Å³ per cell; offset from the most stable computed form = 0 meV/atom; Fermi-level density of states = 17.8 states/eV/cell
1.0
9.111 0.000 0.000
0.000 3.981 0.000
0.000 0.000 15.052
Ho Tl Se
12 4 4
Direct
0.036 0.250 0.115
0.161 0.250 0.521
0.210 0.750 0.277
0.290 0.250 0.777
0.339 0.750 0.021
0.464 0.750 0.615
0.536 0.250 0.385
0.661 0.250 0.979
0.710 0.750 0.223
0.790 0.250 0.723
0.839 0.750 0.479
0.964 0.750 0.885
0.058 0.750 0.675
0.442 0.250 0.175
0.558 0.750 0.825
0.942 0.250 0.325
0.164 0.250 0.944
0.336 0.750 0.444
0.664 0.250 0.556
0.836 0.750 0.056

---

No. 7
Ho3TlSe2 (GGA-PBE, relaxed); volume = 308 Å³ per cell; Fermi-level density of states = 2.2 states/eV/cell
1.0
4.022 0.000 0.000
0.000 5.931 0.000
0.000 0.000 12.917
Ho Tl Se
6 2 4
Direct
0.000 0.000 0.000
0.000 0.000 0.323
0.000 0.000 0.677
0.500 0.500 0.177
0.500 0.500 0.500
0.500 0.500 0.823
0.000 0.500 0.000
0.500 0.000 0.500
0.000 0.500 0.335
0.000 0.500 0.665
0.500 0.000 0.165
0.500 0.000 0.835

---

No. 8
Ho4Tl3Se8 (GGA-PBE, relaxed); volume = 433 Å³ per cell; Fermi-level density of states = 5.5 states/eV/cell
1.0
6.004 -5.958 0.000
6.004 5.958 0.000
-5.707 0.000 6.055
Ho Tl Se
4 3 8
Direct
0.000 0.000 0.000
0.000 0.000 0.500
0.000 0.500 0.000
0.500 0.000 0.000
0.000 0.500 0.500
0.500 0.000 0.500
0.500 0.500 0.500
0.220 0.220 0.470
0.232 0.232 0.977
0.238 0.762 0.500
0.243 0.757 0.000
0.757 0.243 0.000
0.762 0.238 0.500
0.768 0.768 0.023
0.780 0.780 0.530

---

Summary of energy relative to the elements, uncorrected in meV per atom
-1300 -1273 -1300 -1171 -1219 -843 -1268 -1267
(order as listed above)
Summary of calculated total energy in eV for the cell shown
-73.927 -73.596 -76.110 -59.103 -78.472 -95.191 -61.349 -72.286
(order as listed above)